Record 1
DFT (PBE) results for a relaxed CsTlPIr crystal.

Structure (POSCAR):
```
CsTlPIr
1.0
4.114 0.000 0.000
0.000 4.114 0.000
0.000 0.000 14.240
Cs Tl P Ir
2 2 2 2
direct
0.750 0.750 0.237
0.250 0.250 0.763
0.250 0.750 0.500
0.750 0.250 0.500
0.750 0.750 0.914
0.250 0.250 0.086
0.750 0.250 0.000
0.250 0.750 0.000
```

ΔH_f (0 K): -1.37 eV/f.u.
calculated total energy: -37.7 eV for the cell shown
density of states at the Fermi level: 0.513 states/eV per atom

=====

Record 2
DFT (PBE) results for a relaxed PmNiSnPd crystal.

Structure (POSCAR):
```
PmNiSnPd
1.0
4.792 0.000 0.000
2.396 4.150 0.000
2.396 1.383 3.912
Ni Sn Pd Pm
1 1 1 1
direct
0.500 0.500 0.500
0.250 0.250 0.250
0.000 0.000 0.000
0.750 0.750 0.750
```

ΔH_f (0 K): -2.29 eV/f.u.
calculated total energy: -22.0 eV for the cell shown
density of states at the Fermi level: 0.955 states/eV per atom

=====

Q: density of states at the Fermi level of number 1 (CsTlPIr)?
A: 0.513 states/eV per atom

=====

Q: Which of these has the highest ΔH_f (0 K)?
A: CsTlPIr